Record 1
# AlTl3Cu

A geometry-optimized AlTl3Cu structure (GGA-PBE, the Alexandria database).

The density of states at the Fermi level comes out at 1.9 states/eV/cell. Its energy of formation from the pure elements is 604 meV/atom. As for the total energy: -11.918 eV for the cell shown. As for the space group: Pm-3m (221). The calculation puts the energy above the lowest structure with this stoichiometry at 1.06 eV/f.u.

a = 5.4252 Å, b = 5.4252 Å, c = 5.4252 Å
α = 90.00°, β = 90.00°, γ = 90.00°
Closest atoms and distances in Å follow each position.
Fractional positions:
Tl 0.0000 0.0000 0.5000  2 Al 2.71
Cu 0.5000 0.5000 0.5000  12 Tl 3.84
Al 0.0000 0.0000 0.0000  6 Tl 2.71
Tl 0.5000 0.0000 0.0000  2 Al 2.71
Tl 0.0000 0.5000 0.0000  2 Al 2.71

Record 2
# PmPdCl6

A geometry-optimized PmPdCl6 structure (GGA-PBE, the Alexandria database).

The formation energy (no corrections) comes out at -1.2147 eV per atom. The density of states at the Fermi level comes out at 1.1 states/eV/cell. As for the total energy: -30.741 eV for the cell shown. As for the space group: P-1 (2).

a = 6.3743 Å, b = 6.6598 Å, c = 6.8866 Å
α = 64.06°, β = 62.52°, γ = 58.32°
Closest atoms and distances in Å follow each position.
Fractional positions:
Cl 0.3969 0.7783 0.7640  1 Pd 2.37
Cl 0.0802 0.3985 0.7556  1 Pd 2.62, 1 Pm 2.69
Pm 0.5000 0.5000 0.5000  6 Cl 2.69-2.79
Cl 0.9198 0.6015 0.2444  1 Pd 2.62, 1 Pm 2.69
Cl 0.7767 0.0691 0.7665  1 Pd 2.37
Cl 0.6031 0.2217 0.2360  1 Pd 2.37
Cl 0.2233 0.9309 0.2335  1 Pd 2.37
Pd 0.0000 0.0000 0.0000  6 Cl 2.37-2.62

Record 3
# V7Ga3Fe2

A geometry-optimized V7Ga3Fe2 structure (GGA-PBE, the Alexandria database).

The density of states at the Fermi level comes out at 10.3 states/eV/cell. Its energy of formation from the pure elements is 52 meV/atom. As for the total energy: -89.207 eV for the cell shown. As for the space group: P2/m (10).

a = 2.7254 Å, b = 4.4522 Å, c = 14.2821 Å
α = 110.22°, β = 90.00°, γ = 90.00°
Closest atoms and distances in Å follow each position.
Fractional positions:
Ga 0.0000 0.0919 0.3574  2 Ga 2.73, 4 Fe 2.74-2.76, 8 V 2.81-2.95
V 0.0000 0.0000 0.0000  4 Ga 2.61, 8 V 2.65-2.87
V 0.5000 0.9825 0.8211  1 Fe 2.26, 2 V 2.49
Fe 0.5000 0.4822 0.7076  4 V 2.24-2.36
V 0.5000 0.7055 0.4594  1 Fe 2.24, 2 V 2.47-2.48
Fe 0.5000 0.5178 0.2924  4 V 2.24-2.36
Ga 0.0000 0.9081 0.6426  2 Ga 2.73, 4 Fe 2.74-2.76, 8 V 2.81-2.95
Ga 0.5000 0.5000 0.0000  10 V 2.61-2.79, 2 Ga 2.73
V 0.5000 0.0175 0.1789  1 Fe 2.26, 2 V 2.49
V 0.5000 0.2945 0.5406  1 Fe 2.24, 2 V 2.47-2.48
V 0.0000 0.4702 0.8411  2 Fe 2.36, 2 V 2.49, 2 Ga 2.61
V 0.0000 0.5298 0.1589  2 Fe 2.36, 2 V 2.49, 2 Ga 2.61

Record 4
# MgBe2Ag

A geometry-optimized MgBe2Ag structure (GGA-PBE, the Alexandria database).

The density of states at the Fermi level comes out at 1.0 states/eV/cell. Its energy of formation from the pure elements is 186 meV/atom. As for the total energy: -11.152 eV for the cell shown. As for the space group: Pm (6).

a = 3.8603 Å, b = 2.8450 Å, c = 5.1677 Å
α = 73.71°, β = 90.00°, γ = 90.00°
Closest atoms and distances in Å follow each position.
Fractional positions:
Be 0.5000 0.0761 0.2237  2 Be 2.21
Ag 0.5000 0.7838 0.8091  6 Be 2.49-2.59
Mg 0.0000 0.4553 0.4609  7 Be 2.66-2.71, 2 Mg 2.84, 4 Ag 2.95-2.96
Be 0.0000 0.1848 0.0064  2 Be 2.21

Record 5
# Ta7Ir

A geometry-optimized Ta7Ir structure (GGA-PBE, the Alexandria database).

The density of states at the Fermi level comes out at 12.3 states/eV/cell. Its energy of formation from the pure elements is 95 meV/atom. As for the total energy: -91.068 eV for the cell shown. As for the space group: Fm-3m (225).

a = 5.8934 Å, b = 5.8934 Å, c = 5.8934 Å
α = 60.00°, β = 60.00°, γ = 60.00°
Closest atoms and distances in Å follow each position.
Fractional positions:
Ta 0.5000 0.5000 0.0000  10 Ta 2.95, 2 Ir 2.95
Ir 0.0000 0.0000 0.0000  12 Ta 2.95
Ta 0.0000 0.0000 0.5000  10 Ta 2.95, 2 Ir 2.95
Ta 0.5000 0.0000 0.5000  10 Ta 2.95, 2 Ir 2.95
Ta 0.0000 0.5000 0.0000  10 Ta 2.95, 2 Ir 2.95
Ta 0.5000 0.0000 0.0000  10 Ta 2.95, 2 Ir 2.95
Ta 0.0000 0.5000 0.5000  10 Ta 2.95, 2 Ir 2.95
Ta 0.5000 0.5000 0.5000  12 Ta 2.95

Record 6
# IrC2

A geometry-optimized IrC2 structure (GGA-PBE, the Alexandria database).

The density of states at the Fermi level comes out at 1.4 states/eV/cell. Its energy of formation from the pure elements is 1255 meV/atom. As for the total energy: -23.542 eV for the cell shown. As for the space group: Cmmm (65). The calculation puts the energy above the lowest structure with this stoichiometry at 2.00 eV/f.u.

a = 4.3360 Å, b = 3.4433 Å, c = 2.8877 Å
α = 90.06°, β = 90.00°, γ = 129.02°
Closest atoms and distances in Å follow each position.
Fractional positions:
C 0.3774 0.7548 0.0002  1 C 1.31
Ir 0.0000 0.0000 0.0000  2 C 2.02
C 0.6226 0.2452 0.9998  1 C 1.31

Record 7
# NaHg2Bi4

A geometry-optimized NaHg2Bi4 structure (GGA-PBE, the Alexandria database).

The density of states at the Fermi level comes out at 3.5 states/eV/cell. Its energy of formation from the pure elements is 23 meV/atom. As for the total energy: -17.286 eV for the cell shown. As for the space group: Cmmm (65).

a = 4.1426 Å, b = 5.7631 Å, c = 9.7299 Å
α = 107.23°, β = 90.00°, γ = 90.00°
Closest atoms and distances in Å follow each position.
Fractional positions:
Bi 0.0000 0.2116 0.4231  4 Bi 3.22-3.29, 2 Hg 3.26
Hg 0.5000 0.9238 0.8477  1 Hg 2.83
Bi 0.5000 0.6510 0.3021  2 Hg 3.20, 2 Bi 3.29, 2 Na 3.49
Bi 0.5000 0.3490 0.6979  2 Hg 3.20, 2 Bi 3.29, 2 Na 3.49
Hg 0.5000 0.0762 0.1523  1 Hg 2.83
Na 0.0000 0.5000 0.0000  4 Bi 3.49, 8 Hg 3.82
Bi 0.0000 0.7884 0.5769  4 Bi 3.22-3.29, 2 Hg 3.26